First-principles (SCAN) data for a crystal of KSc2CuIr relaxed with PBEsol, as listed in Alexandria via LeMat-Bulk.

## Properties
ΔH_f (0 K): 1854 meV per atom
raw total energy: -22.77 eV per atom

Lattice parameters (Å, degrees): 4.6456 4.6456 4.5554 90.00 90.00 90.00
With the nearest neighbours (Å) after each atom.
Space group P4/mmm (No. 123)
Inequivalent atoms, fractional coordinates:
K 0.0000 0.0000 0.0000 (multiplicity 1)  2 Ir 2.28, 4 Sc 2.32
Sc 0.0000 0.5000 0.0000 (multiplicity 2)  2 K 2.32
Cu 0.5000 0.5000 0.5000 (multiplicity 1)  8 Sc 3.25, 4 Ir 3.28
Ir 0.0000 0.0000 0.5000 (multiplicity 1)  2 K 2.28

First-principles (SCAN) data for a crystal of LaCuIr relaxed with PBEsol, as listed in Alexandria via LeMat-Bulk.

## Properties
ΔH_f (0 K): -482 meV per atom
raw total energy: -43.62 eV per atom

Lattice parameters (Å, degrees): 4.2438 4.2438 3.9169 90.00 90.00 120.00
With the nearest neighbours (Å) after each atom.
Space group P-6m2 (No. 187)
Inequivalent atoms, fractional coordinates:
La 0.0000 0.0000 0.0000 (multiplicity 1)  6 Cu 3.14, 6 Ir 3.14
Cu 0.6667 0.3333 0.5000 (multiplicity 1)  3 Ir 2.45
Ir 0.3333 0.6667 0.5000 (multiplicity 1)  3 Cu 2.45

First-principles (SCAN) data for a crystal of La2CuIrO6 relaxed with PBEsol, as listed in Alexandria via LeMat-Bulk.

## Properties
raw total energy: -23.32 eV per atom
uncorrected formation energy: -225.2 kJ/mol of atoms

Lattice parameters (Å, degrees): 5.4811 5.8953 9.3964 90.00 125.35 90.00
With the nearest neighbours (Å) after each atom.
Space group P2_1/c (No. 14)
Inequivalent atoms, fractional coordinates:
La 0.2306 0.0718 0.2498 (multiplicity 4)  7 O 2.39-2.65
Cu 0.0000 0.0000 0.5000 (multiplicity 2)  6 O 1.98-2.18
Ir 0.5000 0.0000 0.0000 (multiplicity 2)  6 O 2.01-2.03
O 0.1516 0.1888 0.9534 (multiplicity 4)  1 Ir 2.03, 1 Cu 2.16
O 0.2702 0.7098 0.9492 (multiplicity 4)  1 Ir 2.01, 1 Cu 2.18
O 0.3436 0.0249 0.7478 (multiplicity 4)  1 Cu 1.98, 1 Ir 2.01

First-principles (SCAN) data for a crystal of Sr2La6Cu3IrO16 relaxed with PBEsol, as listed in Alexandria via LeMat-Bulk.

## Properties
raw total energy: -21.27 eV per atom
uncorrected formation energy: -261.8 kJ/mol of atoms

Lattice parameters (Å, degrees): 16.9363 5.2988 11.0067 90.00 130.52 90.00
With the nearest neighbours (Å) after each atom.
Space group C2/m (No. 12)
Inequivalent atoms, fractional coordinates:
Sr 0.1370 0.0000 0.1521 (multiplicity 4)  6 O 2.40-2.68
La 0.1382 0.5000 0.3939 (multiplicity 4)  4 O 2.30-2.56
La 0.1419 0.5000 0.8723 (multiplicity 4)  4 O 2.27-2.52
La 0.1436 0.0000 0.6388 (multiplicity 4)  4 O 2.34-2.56
Cu 0.0000 0.5000 0.5000 (multiplicity 2)  4 O 1.91
Cu 0.0012 0.0000 0.2524 (multiplicity 4)  4 O 1.90-1.91
Ir 0.0000 0.5000 0.0000 (multiplicity 2)  6 O 1.99-2.09
O 0.0054 0.2445 0.3827 (multiplicity 8)  2 Cu 1.90-1.91
O 0.0275 0.2543 0.8940 (multiplicity 8)  1 Cu 1.91, 1 Ir 1.99
O 0.1591 0.5000 0.1960 (multiplicity 4)  1 Ir 2.09
O 0.1771 0.5000 0.6821 (multiplicity 4)  1 Cu 2.28, 1 Sr 2.40, 1 La 2.52
O 0.1833 0.0000 0.4357 (multiplicity 4)  1 La 2.30, 1 Cu 2.34
O 0.1924 0.0000 0.8927 (multiplicity 4)  2 La 2.27-2.34

Looking at DOS(E_F) for the records above, in order, we have 3.22 2.04 4.03 6.82 states/eV/cell.
Looking at total moment for the records above, in order, we have 0.00 0.00 2.02 1.79 μB/f.u..